Compound: PmPaMn2O8
Source: the Alexandria database
Functional: PBE with a Hubbard U
Structure: optimized geometry

As for the magnetic moment: 6.00 μB/f.u. The calculated total energy comes out at -96.6 eV/f.u.

The structure belongs to space group I-4 (No. 82); the cell edges are 5.192, 5.192 and 11.414 Å and the angles 90.00°, 90.00° and 90.00°. The inequivalent atoms are Pm at (0.000, 0.000, 0.000), Pa at (0.000, 0.500, 0.750), Mn at (0.000, 0.000, 0.500), Mn at (0.000, 0.500, 0.250), O at (0.157, 0.240, 0.578) and O at (0.177, 0.789, 0.180).